Density functional theory data (GGA-PBE) for an optimized crystal structure of AcSmPuCd.

Output
Density: 9.5 g/cm3
Size of the total moment: 6.3 Bohr magnetons per cell
Electronic total energy: -23.65 eV for the cell shown
DFT formation energy: 0.11 eV per atom

Cell lengths 5.6526, 5.6526, 5.6526 Å; angles 60.00, 60.00, 60.00 degrees
Last column: nearest neighbours and their distance in Å.
Positions (direct):
Ac (0.2500, 0.2500, 0.2500)  4 Pu 3.46, 4 Cd 3.46
Cd (0.0000, 0.0000, 0.0000)  4 Ac 3.46, 4 Sm 3.46
Sm (0.7500, 0.7500, 0.7500)  4 Cd 3.46, 4 Pu 3.46
Pu (0.5000, 0.5000, 0.5000)  4 Sm 3.46, 4 Ac 3.46

---

Density functional theory data (GGA-PBE) for an optimized crystal structure of AcPu2Cd2Sn2.

Output
Density: 9.8 g/cm3
Size of the total moment: 12.6 Bohr magnetons per cell
Electronic total energy: -44.43 eV for the cell shown
DFT formation energy: -0.26 eV per atom

Cell lengths 5.0082, 5.0082, 9.6262 Å; angles 74.92, 74.92, 60.00 degrees
Last column: nearest neighbours and their distance in Å.
Positions (direct):
Ac (0.0000, 0.0000, 0.0000)  6 Sn 3.48
Pu (0.1469, 0.1469, 0.5594)  3 Pu 3.09, 3 Cd 3.17, 1 Sn 3.20
Pu (0.8531, 0.8531, 0.4406)  3 Pu 3.09, 3 Cd 3.17, 1 Sn 3.20
Cd (0.5670, 0.5670, 0.2990)  3 Sn 3.00, 3 Pu 3.17
Cd (0.4330, 0.4330, 0.7010)  3 Sn 3.00, 3 Pu 3.17
Sn (0.7370, 0.7370, 0.7889)  3 Cd 3.00, 1 Pu 3.20
Sn (0.2630, 0.2630, 0.2111)  3 Cd 3.00, 1 Pu 3.20

---

Density functional theory data (GGA-PBE) for an optimized crystal structure of AcTbPuCd.

Output
Density: 9.8 g/cm3
Size of the total moment: 6.4 Bohr magnetons per cell
Electronic total energy: -23.51 eV for the cell shown
DFT formation energy: 0.12 eV per atom

Cell lengths 5.6230, 5.6230, 5.6230 Å; angles 60.00, 60.00, 60.00 degrees
Last column: nearest neighbours and their distance in Å.
Positions (direct):
Ac (0.0000, 0.0000, 0.0000)  4 Cd 3.44, 4 Pu 3.44
Cd (0.2500, 0.2500, 0.2500)  4 Ac 3.44, 4 Tb 3.44
Tb (0.5000, 0.5000, 0.5000)  4 Pu 3.44, 4 Cd 3.44
Pu (0.7500, 0.7500, 0.7500)  4 Ac 3.44, 4 Tb 3.44

---

Density functional theory data (GGA-PBE) for an optimized crystal structure of Ac2PuCdTe5.

Output
Density: 7.8 g/cm3
Formation energy from raw total energies: -1.1985 eV per atom
Size of the total moment: 11.8 Bohr magnetons per cell
Electronic total energy: -99.92 eV for the cell shown

Cell lengths 4.5916, 10.1101, 13.6351 Å; angles 90.00, 90.00, 103.13 degrees
Last column: nearest neighbours and their distance in Å.
Positions (direct):
Ac (0.8714, 0.7428, 0.8081)  8 Te 3.39-3.59
Ac (0.1169, 0.2339, 0.6855)  8 Te 3.43-3.51
Ac (0.1286, 0.2572, 0.3081)  8 Te 3.39-3.59
Ac (0.8831, 0.7661, 0.1855)  8 Te 3.43-3.51
Pu (0.8002, 0.6005, 0.5085)  6 Te 3.16-3.20
Pu (0.1998, 0.3995, 0.0085)  6 Te 3.16-3.20
Cd (0.5618, 0.1236, 0.9593)  4 Te 2.81-3.00
Cd (0.4382, 0.8764, 0.4593)  4 Te 2.81-3.00
Te (0.3604, 0.7207, 0.0003)  1 Pu 3.16, 4 Ac 3.44-3.49
Te (0.6921, 0.3841, 0.8457)  1 Cd 3.00, 2 Pu 3.20
Te (0.4988, 0.9976, 0.7747)  1 Cd 2.81
Te (0.2906, 0.5813, 0.6669)  2 Pu 3.16, 3 Ac 3.39-3.43
Te (0.9557, 0.9114, 0.5750)  2 Cd 2.81
Te (0.6396, 0.2793, 0.5003)  1 Pu 3.16, 4 Ac 3.44-3.49
Te (0.3079, 0.6159, 0.3457)  1 Cd 3.00, 2 Pu 3.20
Te (0.5012, 0.0024, 0.2747)  1 Cd 2.81
Te (0.7094, 0.4187, 0.1669)  2 Pu 3.16, 3 Ac 3.39-3.43
Te (0.0443, 0.0886, 0.0750)  2 Cd 2.81

---

Density functional theory data (GGA-PBE) for an optimized crystal structure of AcPuThCd.

Output
Density: 10.9 g/cm3
Size of the total moment: 6.8 Bohr magnetons per cell
Electronic total energy: -26.23 eV for the cell shown
DFT formation energy: 0.14 eV per atom

Cell lengths 5.5982, 5.5982, 5.5982 Å; angles 60.00, 60.00, 60.00 degrees
Last column: nearest neighbours and their distance in Å.
Positions (direct):
Ac (0.0000, 0.0000, 0.0000)  4 Pu 3.43, 4 Cd 3.43
Cd (0.7500, 0.7500, 0.7500)  4 Ac 3.43, 4 Th 3.43
Th (0.5000, 0.5000, 0.5000)  4 Cd 3.43, 4 Pu 3.43
Pu (0.2500, 0.2500, 0.2500)  4 Th 3.43, 4 Ac 3.43

---

Density functional theory data (GGA-PBE) for an optimized crystal structure of AcPuTlCd.

Output
Density: 10.4 g/cm3
Size of the total moment: 6.4 Bohr magnetons per cell
Electronic total energy: -22.21 eV for the cell shown
DFT formation energy: -0.12 eV per atom

Cell lengths 5.6167, 5.6167, 5.6167 Å; angles 60.00, 60.00, 60.00 degrees
Last column: nearest neighbours and their distance in Å.
Positions (direct):
Ac (0.5000, 0.5000, 0.5000)  4 Tl 3.44, 4 Cd 3.44
Cd (0.7500, 0.7500, 0.7500)  4 Ac 3.44, 4 Pu 3.44
Tl (0.2500, 0.2500, 0.2500)  4 Pu 3.44, 4 Ac 3.44
Pu (0.0000, 0.0000, 0.0000)  4 Cd 3.44, 4 Tl 3.44

---

Density functional theory data (GGA-PBE) for an optimized crystal structure of AcTmPuCd.

Output
Density: 10.1 g/cm3
Size of the total moment: 6.6 Bohr magnetons per cell
Electronic total energy: -23.29 eV for the cell shown
DFT formation energy: 0.13 eV per atom

Cell lengths 5.5950, 5.5950, 5.5950 Å; angles 60.00, 60.00, 60.00 degrees
Last column: nearest neighbours and their distance in Å.
Positions (direct):
Cd (0.7500, 0.7500, 0.7500)  4 Ac 3.43, 4 Tm 3.43
Ac (0.0000, 0.0000, 0.0000)  4 Cd 3.43, 4 Pu 3.43
Tm (0.5000, 0.5000, 0.5000)  4 Cd 3.43, 4 Pu 3.43
Pu (0.2500, 0.2500, 0.2500)  4 Ac 3.43, 4 Tm 3.43

---

Density functional theory data (GGA-PBE) for an optimized crystal structure of AcYPuCd.

Output
Density: 8.9 g/cm3
Size of the total moment: 6.7 Bohr magnetons per cell
Electronic total energy: -25.35 eV for the cell shown
DFT formation energy: 0.12 eV per atom

Cell lengths 5.6276, 5.6276, 5.6276 Å; angles 60.00, 60.00, 60.00 degrees
Last column: nearest neighbours and their distance in Å.
Positions (direct):
Y (0.2500, 0.2500, 0.2500)  4 Pu 3.45, 4 Cd 3.45
Ac (0.7500, 0.7500, 0.7500)  4 Pu 3.45, 4 Cd 3.45
Cd (0.5000, 0.5000, 0.5000)  4 Ac 3.45, 4 Y 3.45
Pu (0.0000, 0.0000, 0.0000)  4 Y 3.45, 4 Ac 3.45

---

Density functional theory data (GGA-PBE) for an optimized crystal structure of RbAcCd10.

Output
Density: 7.4 g/cm3
Size of the total moment: 0.0 Bohr magnetons per cell
Electronic total energy: -15.80 eV for the cell shown
DFT formation energy: -0.13 eV per atom

Cell lengths 4.8480, 6.2199, 10.7527 Å; angles 90.00, 90.00, 90.00 degrees
Last column: nearest neighbours and their distance in Å.
Positions (direct):
Rb (0.0000, 0.0000, 0.0000)  10 Cd 3.55-3.94
Ac (0.0000, 0.5000, 0.5000)  18 Cd 3.61-3.94
Cd (0.0000, 0.0000, 0.3301)  6 Cd 3.00-3.04
Cd (0.0000, 0.5000, 0.8354)  6 Cd 3.00-3.05
Cd (0.0000, 0.5000, 0.1646)  6 Cd 3.00-3.05
Cd (0.0000, 0.0000, 0.6699)  6 Cd 3.00-3.04
Cd (0.5000, 0.0000, 0.5000)  8 Cd 2.97-3.04
Cd (0.5000, 0.5000, 0.0000)  8 Cd 3.00-3.25
Cd (0.5000, 0.2634, 0.2695)  8 Cd 2.94-3.28
Cd (0.5000, 0.7366, 0.7305)  8 Cd 2.94-3.28
Cd (0.5000, 0.7366, 0.2695)  8 Cd 2.94-3.28
Cd (0.5000, 0.2634, 0.7305)  8 Cd 2.94-3.28

---

Density functional theory data (GGA-PBE) for an optimized crystal structure of Rb2AcCd2S4.

Output
Density: 4.5 g/cm3
Formation energy from raw total energies: -1.1355 eV per atom
Size of the total moment: 0.0 Bohr magnetons per cell
Electronic total energy: -34.60 eV for the cell shown

Cell lengths 4.2658, 8.3481, 8.6652 Å; angles 112.12, 104.25, 90.00 degrees
Last column: nearest neighbours and their distance in Å.
Positions (direct):
Rb (0.1277, 0.5567, 0.2555)  7 S 3.44-3.71, 1 Cd 3.70
Rb (0.8723, 0.4433, 0.7445)  7 S 3.44-3.71, 1 Cd 3.70
Ac (0.0000, 0.0000, 0.0000)  6 S 3.00-3.03
Cd (0.6882, 0.0160, 0.3765)  3 S 2.60-2.68
Cd (0.3118, 0.9840, 0.6235)  3 S 2.60-2.68
S (0.1926, 0.2127, 0.3852)  2 Cd 2.68
S (0.8074, 0.7873, 0.6148)  2 Cd 2.68
S (0.5318, 0.7792, 0.0636)  1 Cd 2.60
S (0.4682, 0.2208, 0.9364)  1 Cd 2.60

---

Density functional theory data (GGA-PBE) for an optimized crystal structure of RbAc2CdS4.

Output
Density: 5.3 g/cm3
Formation energy from raw total energies: -1.5544 eV per atom
Size of the total moment: 0.0 Bohr magnetons per cell
Electronic total energy: -78.09 eV for the cell shown

Cell lengths 4.3977, 7.7410, 15.0536 Å; angles 90.00, 90.00, 106.50 degrees
Last column: nearest neighbours and their distance in Å.
Positions (direct):
Rb (0.1116, 0.2232, 0.7500)  6 S 3.47-3.57
Rb (0.8884, 0.7768, 0.2500)  6 S 3.47-3.57
Ac (0.3729, 0.7458, 0.5539)  6 S 2.96-3.10
Ac (0.6271, 0.2542, 0.0539)  6 S 2.96-3.10
Ac (0.6271, 0.2542, 0.4461)  6 S 2.96-3.10
Ac (0.3729, 0.7458, 0.9461)  6 S 2.96-3.10
Cd (0.8381, 0.6762, 0.7500)  4 S 2.58-2.59
Cd (0.1619, 0.3238, 0.2500)  4 S 2.58-2.59
S (0.2623, 0.5246, 0.1101)  1 Cd 2.58
S (0.7377, 0.4754, 0.6101)  1 Cd 2.58
S (0.7377, 0.4754, 0.8899)  1 Cd 2.58
S (0.2623, 0.5246, 0.3899)  1 Cd 2.58
S (0.0000, 0.0000, 0.5000)  4 Ac 3.01
S (0.0000, 0.0000, 0.0000)  4 Ac 3.01
S (0.4307, 0.8613, 0.7500)  2 Cd 2.59
S (0.5693, 0.1387, 0.2500)  2 Cd 2.59

---

Density functional theory data (GGA-PBE) for an optimized crystal structure of RbAcCdSb.

Output
Density: 6.3 g/cm3
Formation energy from raw total energies: -0.3166 eV per atom
Size of the total moment: 0.0 Bohr magnetons per cell
Electronic total energy: -11.38 eV for the cell shown

Cell lengths 5.8807, 5.8807, 5.8807 Å; angles 60.00, 60.00, 60.00 degrees
Last column: nearest neighbours and their distance in Å.
Positions (direct):
Sb (0.2500, 0.2500, 0.2500)  4 Ac 3.60, 4 Rb 3.60
Ac (0.5000, 0.5000, 0.5000)  4 Cd 3.60, 4 Sb 3.60
Rb (0.0000, 0.0000, 0.0000)  4 Cd 3.60, 4 Sb 3.60
Cd (0.7500, 0.7500, 0.7500)  4 Ac 3.60, 4 Rb 3.60

---

Among the records above, which one has the highest electronic total energy? RbAcCdSb